# 1
{"formula": "Ti2Fe2Tc", "functional": "PBE", "state": "relaxed", "ef_mev_per_atom": 85, "relative_energy_mev_per_atom": 116, "sg": "I4/mmm, No. 139", "lattice": [[3.184, 0.000, 0.000], [0.000, 3.184, 0.000], [1.592, 1.592, 7.209]], "species": ["Ti", "Ti", "Tc", "Fe", "Fe"], "frac_coords": [[0.399, 0.399, 0.203], [0.601, 0.601, 0.797], [0.000, 0.000, 0.000], [0.750, 0.250, 0.500], [0.250, 0.750, 0.500]]}

# 2
{"formula": "Pu3Si4Ni2", "functional": "PBE", "state": "relaxed", "raw_formation_energy_mev_per_atom": -534.0, "relative_energy_mev_per_atom": 0, "sg": "C2/m, No. 12", "lattice": [[-0.889, 2.982, -2.558], [-4.681, -1.666, 2.856], [4.294, 5.097, 4.449]], "species": ["Pu", "Pu", "Pu", "Si", "Si", "Si", "Si", "Ni", "Ni"], "frac_coords": [[0.602, 0.204, 0.674], [0.000, 0.000, 0.000], [0.398, 0.796, 0.326], [0.728, 0.456, 0.071], [0.272, 0.544, 0.929], [0.874, 0.749, 0.592], [0.126, 0.251, 0.408], [0.680, 0.361, 0.323], [0.320, 0.639, 0.677]]}

# 3
{"formula": "ZnCo2Re", "functional": "PBE", "state": "relaxed", "ef_mev_per_atom": 114, "sg": "Amm2, No. 38", "lattice": [[4.028, 0.000, 0.000], [0.000, 2.599, 0.090], [0.000, 1.137, 4.771]], "species": ["Co", "Co", "Re", "Zn"], "frac_coords": [[0.000, 0.199, 0.977], [0.500, 0.054, 0.267], [0.000, 0.455, 0.464], [0.500, 0.791, 0.792]]}

# 4
{"formula": "TiTePt2I", "functional": "PBE", "state": "relaxed", "raw_formation_energy_mev_per_atom": 576.4, "sg": "P4/mmm, No. 123", "lattice": [[4.823, 0.000, 0.000], [0.000, 4.823, 0.000], [0.000, 0.000, 5.477]], "species": ["I", "Te", "Pt", "Pt", "Ti"], "frac_coords": [[0.500, 0.500, 0.500], [0.000, 0.000, 0.500], [0.000, 0.500, 0.000], [0.500, 0.000, 0.000], [0.000, 0.000, 0.000]]}

# 5
{"formula": "NpPd5Se6", "functional": "PBE", "state": "relaxed", "raw_formation_energy_mev_per_atom": -427.3, "sg": "C2/m, No. 12", "lattice": [[6.656, 0.128, 0.000], [2.000, 6.245, 0.000], [1.000, 3.122, 5.652]], "species": ["Np", "Pd", "Pd", "Pd", "Pd", "Pd", "Se", "Se", "Se", "Se", "Se", "Se"], "frac_coords": [[0.000, 0.000, 0.000], [0.500, 0.152, 0.695], [0.000, 0.332, 0.336], [0.500, 0.500, 0.000], [0.000, 0.668, 0.664], [0.500, 0.848, 0.305], [0.745, 0.091, 0.353], [0.255, 0.556, 0.353], [0.259, 0.267, 0.000], [0.741, 0.733, 0.000], [0.745, 0.444, 0.647], [0.255, 0.909, 0.647]]}

# 6
{"formula": "Ho6Co2Ir", "functional": "PBE", "state": "relaxed", "ef_mev_per_atom": -360, "relative_energy_mev_per_atom": 0, "sg": "Immm, No. 71", "lattice": [[-4.557, 5.642, -3.628], [3.227, -4.923, -5.577], [-4.504, -4.496, 5.027]], "species": ["Ho", "Ho", "Ho", "Ho", "Ho", "Ho", "Ho", "Ho", "Ho", "Ho", "Ho", "Ho", "Co", "Co", "Co", "Co", "Ir", "Ir"], "frac_coords": [[0.558, 0.736, 0.823], [0.442, 0.264, 0.177], [0.087, 0.264, 0.823], [0.913, 0.736, 0.177], [0.814, 0.745, 0.559], [0.186, 0.255, 0.441], [0.186, 0.745, 0.931], [0.814, 0.255, 0.069], [0.687, 0.360, 0.673], [0.313, 0.640, 0.327], [0.313, 0.986, 0.673], [0.687, 0.014, 0.327], [0.500, 0.386, 0.886], [0.500, 0.614, 0.114], [0.663, 0.000, 0.663], [0.337, 0.000, 0.337], [0.000, 0.500, 0.500], [0.000, 0.000, 0.000]]}

no.,total DFT energy (no corrections) (eV per cell)
1,-42.66
2,-81.06
3,-27.48
4,-21.79
5,-64.94
6,-107.55